Density functional theory data (PBE) for a geometry-optimized Na3PdC structure. Values from VASP.

```
&SYSTEM
  ibrav = 0, nat = 5, ntyp = 3
/
ATOMIC_SPECIES
Na 22.99 Na.upf
Pd 106.42 Pd.upf
C 12.01 C.upf
CELL_PARAMETERS angstrom
4.844 0.000 0.000
0.000 4.844 0.000
0.000 0.000 4.844
ATOMIC_POSITIONS crystal
Na 0.000 0.000 0.500
Na 0.000 0.500 0.000
Na 0.500 0.000 0.000
Pd 0.500 0.500 0.500
C 0.000 0.000 0.000
```

The calculation puts the raw total energy at -0.0991 hartree per atom. The value obtained for the spin magnetization is 1.56 μB/f.u. The density of states at the Fermi level comes out at 0.7923 states/eV/atom. For the offset from the most stable computed form, the calculation gives 0.000 eV/atom. The calculation puts the formation energy at 0.98 eV/atom.